# GGA+U BaLiNiF6, optimized geometry
data_BaLiNiF6
_symmetry_space_group_name_H-M 'I m m a'
_symmetry_Int_Tables_number 74
_symmetry_space_group_name_Hall '-I 2b 2'
_cell_length_a 7.1104
_cell_length_b 7.2785
_cell_length_c 9.8118
_cell_angle_alpha 90.00
_cell_angle_beta 90.00
_cell_angle_gamma 90.00
loop_
_atom_site_label
_atom_site_type_symbol
_atom_site_fract_x
_atom_site_fract_y
_atom_site_fract_z
_atom_site_occupancy
Ba1 Ba 0.0000 0.2500 0.1401 1
Li1 Li 0.2500 0.2500 0.7500 1
Ni1 Ni 0.0000 0.0000 0.5000 1
F1 F 0.0000 0.2500 0.5774 1
F2 F 0.0000 0.2500 0.8695 1
F3 F 0.1846 0.0530 0.3697 1
# Theoretical density ... 4.15 g/cm³
# Crystal system ... orthorhombic
# DFT total energy ... -4.630 eV per atom